No. 1
DFT (PBE-GGA) results for a relaxed Ca2Cd2Au crystal.

abc: 6.0521 6.0521 5.8802
angles: 59.03 59.03 90.00
Last column: nearest neighbours and their distance in Å.
Atoms (fractional coordinates):
Au1 0.0000 0.0000 0.0000  2 Cd 2.71
Ca1 0.2500 0.7500 0.5000  4 Cd 3.11
Ca2 0.7500 0.2500 0.5000  4 Cd 3.11
Cd1 0.3364 0.3364 0.3272  1 Cd 2.64, 1 Au 2.71
Cd2 0.6636 0.6636 0.6728  1 Cd 2.64, 1 Au 2.71

Values from the calculation:
The calculation puts the energy above the most stable polymorph in this dataset at 312 meV per atom. As for the formation enthalpy at 0 K: -0.170 eV/atom.

No. 2
DFT (PBE-GGA) results for a relaxed La2Ti2As crystal.

abc: 4.1011 4.1011 7.8642
angles: 74.89 74.89 90.00
Last column: nearest neighbours and their distance in Å.
Atoms (fractional coordinates):
Ti1 0.5690 0.5690 0.8620  1 Ti 2.02
Ti2 0.4310 0.4310 0.1380  1 Ti 2.02
La1 0.2500 0.7500 0.5000  4 La 2.90
La2 0.7500 0.2500 0.5000  4 La 2.90
As1 0.0000 0.0000 0.0000  8 Ti 3.07

Values from the calculation:
The calculation puts the energy above the most stable polymorph in this dataset at 800 meV per atom. As for the formation enthalpy at 0 K: 0.562 eV/atom.

No. 3
DFT (PBE-GGA) results for a relaxed LiHoSbIr crystal.

abc: 4.6963 4.6963 4.6963
angles: 60.00 60.00 60.00
Last column: nearest neighbours and their distance in Å.
Atoms (fractional coordinates):
Ho1 0.2500 0.2500 0.2500  4 Li 2.88, 4 Ir 2.88
Li1 0.0000 0.0000 0.0000  4 Ho 2.88, 4 Sb 2.88
Sb1 0.7500 0.7500 0.7500  4 Ir 2.88, 4 Li 2.88
Ir1 0.5000 0.5000 0.5000  4 Sb 2.88, 4 Ho 2.88

Values from the calculation:
The value obtained for the raw formation energy is -0.7541 eV/atom.

No. 4
DFT (PBE-GGA) results for a relaxed K2SmC2O6 crystal.

abc: 5.7180 5.7180 6.4535
angles: 90.00 90.00 120.00
Last column: nearest neighbours and their distance in Å.
Atoms (fractional coordinates):
O1 0.7990 0.5978 0.1895  1 C 1.31
O2 0.4022 0.2012 0.1895  1 C 1.31
O3 0.5978 0.7988 0.8105  1 C 1.31
O4 0.2012 0.7990 0.8105  1 C 1.31
O5 0.2010 0.4022 0.8105  1 C 1.31
O6 0.7988 0.2010 0.1895  1 C 1.31
C1 0.3333 0.6667 0.8241  3 O 1.31
C2 0.6667 0.3333 0.1759  3 O 1.31
K1 0.3333 0.6667 0.3279  6 O 3.01-3.02, 2 C 3.20-3.25
K2 0.6667 0.3333 0.6721  6 O 3.01-3.02, 2 C 3.20-3.25
Sm1 0.0000 0.0000 0.0000  6 O 2.34

Values from the calculation:
The value obtained for the raw formation energy is -1.8493 eV/atom.

No. 5
DFT (PBE-GGA) results for a relaxed Ni2AgH2 crystal.

abc: 5.9728 5.9728 2.6328
angles: 90.00 90.00 90.00
Last column: nearest neighbours and their distance in Å.
Atoms (fractional coordinates):
Ag1 0.5000 0.5000 0.0000  4 H 2.49, 2 Ag 2.63, 8 Ni 2.67
Ag2 0.0000 0.0000 0.0000  4 H 2.49, 2 Ag 2.63, 8 Ni 2.67
Ni1 0.1359 0.6359 0.5000  4 H 1.92
Ni2 0.3641 0.1359 0.5000  4 H 1.92
Ni3 0.6359 0.8641 0.5000  4 H 1.92
Ni4 0.8641 0.3641 0.5000  4 H 1.92
H1 0.4070 0.9070 0.0000  1 H 1.57
H2 0.0930 0.4070 0.0000  1 H 1.57
H3 0.9070 0.5930 0.0000  1 H 1.57
H4 0.5930 0.0930 0.0000  1 H 1.57

Values from the calculation:
The calculation puts the energy above the most stable polymorph in this dataset at 311 meV per atom.

No. 6
DFT (PBE-GGA) results for a relaxed Nb2Al5NiIr2 crystal.

abc: 3.8743 9.0552 9.0552
angles: 90.00 90.00 90.00
Last column: nearest neighbours and their distance in Å.
Atoms (fractional coordinates):
Ir1 0.0000 0.6204 0.8796  6 Al 2.48-2.59, 3 Nb 2.56-2.77
Ir2 0.0000 0.1204 0.6204  6 Al 2.48-2.59, 3 Nb 2.56-2.77
Ir3 0.0000 0.3796 0.1204  6 Al 2.48-2.59, 3 Nb 2.56-2.77
Ir4 0.0000 0.8796 0.3796  6 Al 2.48-2.59, 3 Nb 2.56-2.77
Nb1 0.0000 0.1795 0.3205  3 Ir 2.56-2.77
Nb2 0.0000 0.8205 0.6795  3 Ir 2.56-2.77
Nb3 0.0000 0.3205 0.8205  3 Ir 2.56-2.77
Nb4 0.0000 0.6795 0.1795  3 Ir 2.56-2.77
Al1 0.5000 0.0000 0.5000  4 Ir 2.48
Al2 0.5000 0.5000 0.0000  4 Ir 2.48
Al3 0.5000 0.9413 0.1993  2 Ir 2.59, 3 Al 2.66-2.77, 2 Ni 2.70
Al4 0.5000 0.6993 0.4413  2 Ir 2.59, 3 Al 2.66-2.77, 2 Ni 2.70
Al5 0.5000 0.5587 0.6993  2 Ir 2.59, 3 Al 2.66-2.77, 2 Ni 2.70
Al6 0.5000 0.4413 0.3007  2 Ir 2.59, 3 Al 2.66-2.77, 2 Ni 2.70
Al7 0.5000 0.1993 0.0587  2 Ir 2.59, 3 Al 2.66-2.77, 2 Ni 2.70
Al8 0.5000 0.3007 0.5587  2 Ir 2.59, 3 Al 2.66-2.77, 2 Ni 2.70
Al9 0.5000 0.8007 0.9413  2 Ir 2.59, 3 Al 2.66-2.77, 2 Ni 2.70
Al10 0.5000 0.0587 0.8007  2 Ir 2.59, 3 Al 2.66-2.77, 2 Ni 2.70
Ni1 0.0000 0.0000 0.0000  8 Al 2.70
Ni2 0.0000 0.5000 0.5000  8 Al 2.70

Values from the calculation:
As for the formation enthalpy at 0 K: -0.450 eV/atom.